# 1
An optimized crystal structure of BaMgSbI2, computed with PBE.

The structure belongs to space group P4/mmm (No. 123); the cell edges are 6.6585, 6.6585 and 7.0747 Å and the angles 90.00°, 90.00° and 90.00°. The inequivalent atoms are Ba at (0.0000, 0.0000, 0.0000), Mg at (0.5000, 0.5000, 0.5000), Sb at (0.0000, 0.0000, 0.5000) and I at (0.0000, 0.5000, 0.0000).

# 2
An optimized crystal structure of BaMgTaI2, computed with PBE.

The structure belongs to space group P4/mmm (No. 123); the cell edges are 5.7441, 5.7441 and 5.6978 Å and the angles 90.00°, 90.00° and 90.00°. The inequivalent atoms are Ba at (0.0000, 0.0000, 0.0000), Mg at (0.5000, 0.5000, 0.5000), Ta at (0.5000, 0.5000, 0.0000) and I at (0.0000, 0.5000, 0.5000).

# 3
An optimized crystal structure of BaMgTaI2, computed with PBE.

The structure belongs to space group P4/mmm (No. 123); the cell edges are 6.5912, 6.5912 and 7.4971 Å and the angles 90.00°, 90.00° and 90.00°. The inequivalent atoms are Ba at (0.0000, 0.0000, 0.0000), Mg at (0.0000, 0.0000, 0.5000), Ta at (0.5000, 0.5000, 0.5000) and I at (0.0000, 0.5000, 0.0000).

# 4
An optimized crystal structure of BaMgVI2, computed with PBE.

The structure belongs to space group P4/mmm (No. 123); the cell edges are 5.5859, 5.5859 and 6.5243 Å and the angles 90.00°, 90.00° and 90.00°. The inequivalent atoms are Ba at (0.0000, 0.0000, 0.0000), Mg at (0.5000, 0.5000, 0.0000), V at (0.0000, 0.0000, 0.5000) and I at (0.0000, 0.5000, 0.5000).

# 5
An optimized crystal structure of BaMgW2I, computed with PBE.

The structure belongs to space group P4/mmm (No. 123); the cell edges are 5.3167, 5.3167 and 6.2797 Å and the angles 90.00°, 90.00° and 90.00°. The inequivalent atoms are Ba at (0.0000, 0.0000, 0.0000), Mg at (0.0000, 0.0000, 0.5000), W at (0.0000, 0.5000, 0.0000) and I at (0.5000, 0.5000, 0.5000).

# 6
An optimized crystal structure of BaMnI3, computed with PBE.

The structure belongs to space group Pm-3m (No. 221); the cell edges are 6.7105, 6.7105 and 6.7105 Å and the angles 90.00°, 90.00° and 90.00°. The inequivalent atoms are Ba at (0.0000, 0.0000, 0.0000), Mn at (0.5000, 0.5000, 0.5000) and I at (0.0000, 0.0000, 0.5000).

# 7
An optimized crystal structure of BaMn2I, computed with PBE.

The structure belongs to space group Fm-3m (No. 225); the cell edges are 6.7895, 6.7895 and 6.7895 Å and the angles 90.00°, 90.00° and 90.00°. The inequivalent atoms are Ba at (0.0000, 0.0000, 0.0000), Mn at (0.2500, 0.2500, 0.2500) and I at (0.0000, 0.0000, 0.5000).

# 8
An optimized crystal structure of Ba2MnI6, computed with PBE.

The structure belongs to space group P2_1/c (No. 14); the cell edges are 7.7579, 8.9212 and 13.3456 Å and the angles 90.00°, 124.58° and 90.00°. The inequivalent atoms are Ba at (0.2168, 0.1099, 0.2555), Mn at (0.5000, 0.0000, 0.0000), I at (0.1307, 0.1647, 0.9476), I at (0.2863, 0.7010, 0.9474) and I at (0.3572, 0.0212, 0.7506).

So what do the calculations give for Fermi-level density of states? Going down the list: 2.48 4.80 5.70 4.13 9.04 0.00 10.86 0.00 states/eV/f.u..
So what do the calculations give for total energy? Going down the list: -0.086 -0.120 -0.101 -0.114 -0.119 -0.131 -0.148 -0.140 Ha/atom.